1.
A relaxed structure of Ba8HIr3I3. Source: Alexandria via LeMat-Bulk, functional PBE.

Cell lengths 10.0278, 10.0278, 10.0278 Å; angles 54.22, 54.22, 54.22 degrees
Sites, in units of the cell vectors:
Ba 0.2230 0.7356 0.7356
Ba 0.2330 0.2330 0.2330
Ba 0.2644 0.2644 0.7770
Ba 0.2644 0.7770 0.2644
Ba 0.7356 0.2230 0.7356
Ba 0.7356 0.7356 0.2230
Ba 0.7670 0.7670 0.7670
Ba 0.7770 0.2644 0.2644
H 0.5000 0.5000 0.5000
Ir 0.0000 0.0000 0.5000
Ir 0.0000 0.5000 0.0000
Ir 0.5000 0.0000 0.0000
I 0.0000 0.5000 0.5000
I 0.5000 0.0000 0.5000
I 0.5000 0.5000 0.0000

* Fermi-level density of states: 8.323 states/eV/cell
* calculated total energy: -59.42 eV per cell
* V: 616.9 Å³ per cell

***

2.
A relaxed structure of RbZnBr2. Source: Alexandria via LeMat-Bulk, functional PBE.

Cell lengths 8.9299, 8.9299, 8.9299 Å; angles 135.34, 135.34, 65.00 degrees
Sites, in units of the cell vectors:
Rb 0.0000 0.0000 0.0000
Rb 0.7500 0.2500 0.5000
Zn 0.2500 0.7500 0.5000
Zn 0.5000 0.5000 0.0000
Br 0.2201 0.6250 0.0951
Br 0.3750 0.4701 0.5951
Br 0.5299 0.1250 0.9049
Br 0.8750 0.7799 0.4049

* Fermi-level density of states: 0.194 states/eV/cell
* ΔE_f (raw): -0.908 eV/atom
* excess energy over the best structure of this formula in the dataset: 0.0 kJ/mol of atoms
* V: 346.8 Å³ per cell

***

Q: Which formula does entry 2 have?
A: RbZnBr2

***

Please write out number 2 again, unchanged.
A relaxed structure of RbZnBr2. Source: Alexandria via LeMat-Bulk, functional PBE.

Cell lengths 8.9299, 8.9299, 8.9299 Å; angles 135.34, 135.34, 65.00 degrees
Sites, in units of the cell vectors:
Rb 0.0000 0.0000 0.0000
Rb 0.7500 0.2500 0.5000
Zn 0.2500 0.7500 0.5000
Zn 0.5000 0.5000 0.0000
Br 0.2201 0.6250 0.0951
Br 0.3750 0.4701 0.5951
Br 0.5299 0.1250 0.9049
Br 0.8750 0.7799 0.4049

* Fermi-level density of states: 0.194 states/eV/cell
* ΔE_f (raw): -0.908 eV/atom
* excess energy over the best structure of this formula in the dataset: 0.0 kJ/mol of atoms
* V: 346.8 Å³ per cell

***

Q: Number 1 is which compound?
A: Ba8HIr3I3